! TbHo5Al2 (PBE, optimized geometry); values from VASP
&SYSTEM
  ibrav = 0, nat = 8, ntyp = 3
/
ATOMIC_SPECIES
Tb 158.93 Tb.upf
Ho 164.93 Ho.upf
Al 26.98 Al.upf
CELL_PARAMETERS angstrom
3.5160 0.0000 0.0000
1.7580 8.0224 -0.4454
1.7580 1.9888 7.7847
ATOMIC_POSITIONS angstrom
Tb 0.0000 0.0000 0.0000
Ho 1.7580 5.0056 3.6696
Ho 3.5160 5.0004 0.8035
Ho 3.5160 5.0107 6.5358
Ho 3.5160 7.7405 2.8122
Ho 3.5160 2.2707 4.5270
Al 5.2740 7.6043 5.5748
Al 1.7580 2.4069 1.7645
! **Density**: 7.74 Mg/m³
! **DFT formation energy**: -93 meV per atom
! **Final energy**: -35.747 eV per cell

! HfTi2As3 (PBE, optimized geometry); values from VASP
&SYSTEM
  ibrav = 0, nat = 12, ntyp = 3
/
ATOMIC_SPECIES
Hf 178.49 Hf.upf
Ti 47.87 Ti.upf
As 74.92 As.upf
CELL_PARAMETERS angstrom
3.5813 0.0000 0.0000
0.0000 6.1790 0.0000
0.0000 0.0000 10.0141
ATOMIC_POSITIONS angstrom
Hf 0.0000 0.0633 8.8273
Hf 0.0000 3.1528 1.1868
Ti 0.0000 6.1658 2.1346
Ti 1.7907 0.0574 4.8212
Ti 0.0000 3.0763 7.8795
Ti 1.7907 3.1469 5.1928
As 1.7907 1.0888 0.6534
As 1.7907 1.3607 7.1341
As 0.0000 1.7764 3.8607
As 1.7907 4.1783 9.3607
As 1.7907 4.4502 2.8800
As 0.0000 4.8658 6.1533
! **Density**: 7.48 Mg/m³
! **DFT formation energy**: -837 meV per atom
! **Final energy**: -89.432 eV per cell

! SbPRh2 (PBE, optimized geometry); values from VASP
&SYSTEM
  ibrav = 0, nat = 4, ntyp = 3
/
ATOMIC_SPECIES
Sb 121.76 Sb.upf
P 30.97 P.upf
Rh 102.91 Rh.upf
CELL_PARAMETERS angstrom
-3.4691 2.2171 -1.6325
-2.0218 -0.2689 3.9313
1.3674 2.7983 0.8946
ATOMIC_POSITIONS angstrom
Sb -2.0618 2.3733 1.5967
P 0.6837 1.3992 0.4473
Rh -1.7346 1.1085 -0.8162
Rh -1.0109 -0.1344 1.9656
! **Density**: 9.37 Mg/m³
! **Final energy**: -24.502 eV per cell

! BaCuPPd2 (PBE, optimized geometry); values from VASP
&SYSTEM
  ibrav = 0, nat = 5, ntyp = 4
/
ATOMIC_SPECIES
P 30.97 P.upf
Cu 63.55 Cu.upf
Ba 137.33 Ba.upf
Pd 106.42 Pd.upf
CELL_PARAMETERS angstrom
-0.8040 4.7513 -0.3712
-2.5924 -0.1202 4.0773
3.7114 0.8143 2.3838
ATOMIC_POSITIONS angstrom
P 0.0000 0.0000 0.0000
Cu 1.8557 0.4071 1.1919
Ba 0.1575 2.7227 3.0449
Pd -1.2962 -0.0601 2.0386
Pd -0.4020 2.3756 -0.1856
! **Density**: 7.05 Mg/m³
! **DFT formation energy**: -512 meV per atom
! **Final energy**: -24.376 eV per cell

! AcGdMgCu (PBE, optimized geometry); values from VASP
&SYSTEM
  ibrav = 0, nat = 4, ntyp = 4
/
ATOMIC_SPECIES
Ac 227.00 Ac.upf
Gd 157.25 Gd.upf
Mg 24.30 Mg.upf
Cu 63.55 Cu.upf
CELL_PARAMETERS angstrom
5.4032 0.0000 0.0000
2.7016 4.6793 0.0000
2.7016 1.5598 4.4117
ATOMIC_POSITIONS angstrom
Ac 8.1047 4.6793 3.3087
Gd 2.7016 1.5598 1.1029
Mg 0.0000 0.0000 0.0000
Cu 5.4032 3.1195 2.2058
! **Density**: 7.03 Mg/m³
! **DFT formation energy**: -7 meV per atom
! **Final energy**: -23.907 eV per cell

! LuUPt4 (PBE, optimized geometry); values from VASP
&SYSTEM
  ibrav = 0, nat = 6, ntyp = 3
/
ATOMIC_SPECIES
Lu 174.97 Lu.upf
U 238.03 U.upf
Pt 195.08 Pt.upf
CELL_PARAMETERS angstrom
5.4126 0.0000 0.0000
2.7063 4.6875 0.0000
2.7063 1.5625 4.4194
ATOMIC_POSITIONS angstrom
Lu 0.0000 0.0000 0.0000
U 2.7063 1.5625 1.1048
Pt 5.4126 3.1250 0.5483
Pt 5.4126 1.5586 2.7635
Pt 6.7691 3.9082 2.7635
Pt 4.0561 3.9082 2.7635
! **Density**: 17.67 Mg/m³
! **DFT formation energy**: -861 meV per atom
! **Final energy**: -45.137 eV per cell

! TmTiGaNi (PBE, optimized geometry); values from VASP
&SYSTEM
  ibrav = 0, nat = 4, ntyp = 4
/
ATOMIC_SPECIES
Ni 58.69 Ni.upf
Tm 168.93 Tm.upf
Ga 69.72 Ga.upf
Ti 47.87 Ti.upf
CELL_PARAMETERS angstrom
-1.7250 0.1798 4.2953
2.2020 -2.1349 3.4716
2.1524 2.4922 3.2579
ATOMIC_POSITIONS angstrom
Ni 1.3147 0.2686 5.5124
Tm 1.9720 0.4029 8.2686
Ga 0.0000 0.0000 0.0000
Ti 0.6573 0.1343 2.7562
! **Density**: 8.16 Mg/m³
! **DFT formation energy**: -308 meV per atom
! **Final energy**: -22.405 eV per cell

! Pu2Co3Ge4Os (PBE, optimized geometry); values from VASP
&SYSTEM
  ibrav = 0, nat = 10, ntyp = 4
/
ATOMIC_SPECIES
Pu 244.00 Pu.upf
Co 58.93 Co.upf
Ge 72.64 Ge.upf
Os 190.23 Os.upf
CELL_PARAMETERS angstrom
-2.4778 -2.3873 2.2680
1.5813 -3.3524 -1.8011
6.7979 -0.5005 6.8998
ATOMIC_POSITIONS angstrom
Pu 0.4463 -1.3177 2.8445
Pu 5.9033 -2.0526 4.2888
Co 3.3989 -0.2503 3.4499
Co 4.7229 -1.6326 7.1852
Co 1.6267 -1.7377 -0.0519
Ge -0.4483 -2.8698 0.2335
Ge 0.0000 0.0000 0.0000
Ge 3.0888 -1.5123 5.5266
Ge 3.2608 -1.8581 1.6067
Os 2.9506 -3.1201 3.6834
! **Density**: 11.55 Mg/m³
! **DFT formation energy**: -348 meV per atom
! **Final energy**: -83.164 eV per cell